An optimized crystal structure of YMnOs2. Source: Alexandria via LeMat-Bulk, functional GGA-PBEsol.

Cell and atoms, written as extended XYZ:
```
4
Lattice="-1.734 -3.901 -1.349 0.652 -3.701 2.434 -3.411 -1.830 2.249" Properties=species:S:1:pos:R:3 pbc="T T T"
Os -1.123 -2.358 0.834
Os -3.370 -7.074 2.501
Mn 0.000 0.000 0.000
Y -2.247 -4.716 1.667
```

Values from the calculation:
The value obtained for the energy above the most stable polymorph in this dataset is 0.000 eV per atom. Its total magnetization is 2.81 μB per cell. Its space group is Fm-3m. The formation energy comes out at 0.398 eV/atom.

An optimized crystal structure of InFe2BSe. Source: Alexandria via LeMat-Bulk, functional GGA-PBEsol.

Cell and atoms, written as extended XYZ:
```
5
Lattice="-1.762 3.235 3.123 -4.308 -2.177 -0.175 1.372 -3.030 3.913" Properties=species:S:1:pos:R:3 pbc="T T T"
In 0.000 0.000 0.000
Fe -2.154 -1.089 -0.088
B -2.349 -0.986 3.431
Se 0.686 -1.515 1.957
Fe -0.881 1.618 1.562
```

Values from the calculation:
Its total magnetization is 5.83 μB per cell. Its space group is P4/mmm.

An optimized crystal structure of Rb2CrInCu. Source: Alexandria via LeMat-Bulk, functional GGA-PBEsol.

Cell and atoms, written as extended XYZ:
```
5
Lattice="-0.527 -0.153 -4.808 6.763 -0.125 -0.737 -0.100 -6.800 0.227" Properties=species:S:1:pos:R:3 pbc="T T T"
Cu -0.263 -0.077 -2.404
Cr 3.068 -3.539 -2.659
In 0.000 0.000 0.000
Rb 3.382 -0.062 -0.369
Rb -0.050 -3.400 0.114
```

Values from the calculation:
Its total magnetization is 5.26 μB per cell. Its space group is P4/mmm. The formation energy comes out at 1.020 eV/atom.

An optimized crystal structure of La2Hg. Source: Alexandria via LeMat-Bulk, functional GGA-PBEsol.

Cell and atoms, written as extended XYZ:
```
6
Lattice="-1.716 -4.743 -3.342 3.457 -5.212 0.144 -3.850 -4.240 2.517" Properties=species:S:1:pos:R:3 pbc="T T T"
La -1.530 -3.849 0.770
La -0.130 -6.521 -1.634
Hg -0.429 -1.186 -0.836
La -0.580 -10.347 -1.451
La -1.979 -7.675 0.953
Hg -1.287 -3.557 -2.507
```

Values from the calculation:
Its total magnetization is 0.00 μB per cell. Its space group is I4/mcm. The formation energy comes out at -0.297 eV/atom.

An optimized crystal structure of Mg5Cd3. Source: Alexandria via LeMat-Bulk, functional GGA-PBEsol.

Cell and atoms, written as extended XYZ:
```
16
Lattice="-1.243 5.498 0.966 -6.861 -0.716 -4.752 -0.421 -1.539 8.223" Properties=species:S:1:pos:R:3 pbc="T T T"
Cd -4.696 0.016 2.332
Mg -2.582 3.952 -0.419
Mg -2.568 -1.265 3.898
Cd -0.478 0.762 3.512
Mg -0.631 0.205 6.487
Mg -2.062 0.832 1.076
Cd -3.829 3.227 2.105
Mg -4.714 -0.990 -0.427
Mg -6.463 2.411 3.360
Mg -3.189 1.484 4.381
Mg -5.521 0.831 -3.368
Cd -5.064 3.693 -2.138
Cd -3.040 1.090 -1.649
Mg -1.033 3.754 2.702
Mg -5.336 1.759 0.056
Cd -1.186 3.197 5.676
```

Values from the calculation:
The value obtained for the energy above the most stable polymorph in this dataset is 0.010 eV per atom. Its total magnetization is 0.00 μB per cell. Its space group is P6_3/mcm. The formation energy comes out at -0.081 eV/atom.

An optimized crystal structure of TmSn2. Source: Alexandria via LeMat-Bulk, functional GGA-PBEsol.

Cell and atoms, written as extended XYZ:
```
6
Lattice="4.262 0.000 0.000 0.000 4.330 0.000 0.000 2.165 7.931" Properties=species:S:1:pos:R:3 pbc="T T T"
Tm 3.197 4.330 1.549
Sn 3.197 2.165 3.951
Sn 1.066 2.165 1.035
Tm 1.066 2.165 6.382
Sn 1.066 4.330 3.980
Sn 3.197 4.330 6.897
```

Values from the calculation:
Its total magnetization is 0.00 μB per cell. Its space group is Cmcm. The formation energy comes out at -0.614 eV/atom.

An optimized crystal structure of LaTa2Tl. Source: Alexandria via LeMat-Bulk, functional GGA-PBEsol.

Cell and atoms, written as extended XYZ:
```
4
Lattice="-1.400 1.257 2.351 3.535 -2.819 1.684 3.977 5.558 -0.605" Properties=species:S:1:pos:R:3 pbc="T T T"
La 1.701 0.800 2.513
Ta 4.498 3.249 0.941
Ta 5.805 3.720 3.396
Tl 1.507 3.631 0.884
```

Values from the calculation:
Its total magnetization is 0.00 μB per cell. Its space group is Cm. The formation energy comes out at 0.461 eV/atom.

An optimized crystal structure of LiTc2Cl. Source: Alexandria via LeMat-Bulk, functional GGA-PBEsol.

Cell and atoms, written as extended XYZ:
```
4
Lattice="3.090 0.000 0.000 0.000 3.090 0.000 0.000 0.000 6.028" Properties=species:S:1:pos:R:3 pbc="T T T"
Cl 1.545 1.545 0.000
Li 1.545 1.545 3.014
Tc 0.000 0.000 1.921
Tc 0.000 0.000 4.107
```

Values from the calculation:
The value obtained for the energy above the most stable polymorph in this dataset is 0.088 eV per atom. Its total magnetization is 0.00 μB per cell. Its space group is P4/mmm.

An optimized crystal structure of BaMgIn2. Source: Alexandria via LeMat-Bulk, functional GGA-PBEsol.

Cell and atoms, written as extended XYZ:
```
4
Lattice="4.898 0.000 0.000 2.449 4.242 0.000 2.449 1.414 6.091" Properties=species:S:1:pos:R:3 pbc="T T T"
In 7.347 4.242 3.891
Mg 4.898 2.828 3.045
In 2.449 1.414 2.199
Ba 0.000 0.000 0.000
```

Values from the calculation:
Its total magnetization is 0.00 μB per cell. Its space group is R-3m. The formation energy comes out at -0.327 eV/atom.

An optimized crystal structure of Cd4Te3Se. Source: Alexandria via LeMat-Bulk, functional GGA-PBEsol.

Cell and atoms, written as extended XYZ:
```
8
Lattice="-0.139 3.372 2.995 -5.405 -2.374 2.422 4.794 -4.975 5.822" Properties=species:S:1:pos:R:3 pbc="T T T"
Te -2.894 -2.987 3.228
Se -1.416 1.094 2.101
Cd 0.925 -3.268 7.120
Te -0.424 -5.550 6.228
Cd -0.134 -0.059 0.060
Te 0.970 -1.398 5.017
Cd -1.581 -0.667 4.077
Cd -2.962 -4.841 5.312
```

Values from the calculation:
The value obtained for the energy above the most stable polymorph in this dataset is 0.000 eV per atom. Its total magnetization is 0.00 μB per cell. Its space group is Pmm2.

An optimized crystal structure of AlZn. Source: Alexandria via LeMat-Bulk, functional GGA-PBEsol.

Cell and atoms, written as extended XYZ:
```
4
Lattice="2.747 0.000 0.000 -1.373 2.379 0.000 0.000 0.000 9.369" Properties=species:S:1:pos:R:3 pbc="T T T"
Zn 0.000 1.586 5.789
Zn 1.373 0.793 3.580
Al 0.000 1.586 1.242
Al 1.373 0.793 8.127
```

Values from the calculation:
Its total magnetization is 0.00 μB per cell. Its space group is P-3m1. The formation energy comes out at 0.046 eV/atom.

An optimized crystal structure of MgPb2WO6. Source: Alexandria via LeMat-Bulk, functional GGA-PBEsol.

Cell and atoms, written as extended XYZ:
```
10
Lattice="-2.743 2.833 4.010 -3.925 -2.588 3.087 0.983 -1.137 5.420" Properties=species:S:1:pos:R:3 pbc="T T T"
Pb -4.264 -0.669 9.388
O -4.818 -0.089 6.691
O -2.894 -2.138 7.419
Pb -1.421 -0.223 3.129
O -0.868 -0.803 5.826
O -3.402 -1.551 4.621
O -2.284 0.660 7.895
W 0.000 0.000 0.000
Mg -2.843 -0.446 6.258
O -2.792 1.247 5.098
```

Values from the calculation:
The value obtained for the energy above the most stable polymorph in this dataset is 0.013 eV per atom. Its total magnetization is 0.00 μB per cell. Its space group is Fm-3m.

An optimized crystal structure of Li5CuF6. Source: Alexandria via LeMat-Bulk, functional GGA-PBEsol.

Cell and atoms, written as extended XYZ:
```
12
Lattice="5.028 0.013 -0.012 -2.475 4.377 -0.012 -0.899 -1.546 4.732" Properties=species:S:1:pos:R:3 pbc="T T T"
Li 0.827 1.422 2.353
Li 2.525 1.469 -0.012
F 0.030 0.052 3.440
Li 0.029 2.921 -0.012
Li 3.343 -0.042 2.353
F -0.115 2.862 3.511
F -0.891 1.528 1.196
F 2.545 1.315 3.511
F 1.624 2.791 1.267
Li -1.689 2.885 2.353
Cu 0.000 0.000 0.000
F 1.769 -0.019 1.196
```

Values from the calculation:
Its total magnetization is 0.07 μB per cell. Its space group is C2/m.

So what do the calculations give for energy? Going down the list: -39.421 -20.438 -14.512 -24.303 -25.647 -30.516 -31.234 -23.845 -11.138 -22.587 -11.163 -74.142 -56.559 eV per cell.